1.
# NbHgF2

Crystalline NbHgF2 at its relaxed geometry (GGA-PBE, the Alexandria database).

The calculation puts the electronic total energy at -4.69 eV/atom. As for the formation energy (no corrections): -1166 meV per atom. The calculation puts the theoretical density at 7.93 g cm⁻³. The magnetization is 0.17 μB/atom. The calculation puts the density of states at the Fermi level at 4.9 states/eV per cell. For the distance to the lowest polymorph of the same formula, the calculation gives 0.388 eV per atom.

The structure in POSCAR format:
```
NbHgF2
1.0
-2.2029 2.2029 7.1498
2.2029 -2.2029 7.1498
2.2029 2.2029 -7.1498
Nb Hg F
2 2 4
Cartesian
0.0000 0.0000 0.0000
0.0000 2.2029 3.5749
2.2029 0.0000 3.5749
0.0000 0.0000 7.1498
0.3082 1.1014 1.7875
-1.1014 1.8947 5.3624
-0.3082 3.3043 1.7875
1.1014 2.5111 5.3624
```

***

2.
# NbHg2F6

Crystalline NbHg2F6 at its relaxed geometry (GGA-PBE, the Alexandria database).

The calculation puts the electronic total energy at -4.69 eV/atom. As for the formation energy (no corrections): -2256 meV per atom. The calculation puts the theoretical density at 4.44 g cm⁻³. The magnetization is 0.09 μB/atom. The calculation puts the density of states at the Fermi level at 6.1 states/eV per cell. For the distance to the lowest polymorph of the same formula, the calculation gives 0.050 eV per atom.

The structure in POSCAR format:
```
NbHg2F6
1.0
6.5104 0.0000 0.0000
0.0000 6.5104 0.0000
0.0000 0.0000 10.7226
Nb Hg F
2 4 12
Cartesian
0.0000 0.0000 0.0000
3.2552 3.2552 5.3613
0.0000 0.0000 3.9645
0.0000 0.0000 6.7581
3.2552 3.2552 1.3968
3.2552 3.2552 9.3257
0.9636 0.9636 1.3938
0.9636 0.9636 9.3287
1.3669 5.1435 0.0000
1.8883 1.8883 5.3613
2.2916 4.2188 3.9674
2.2916 4.2188 6.7551
4.2188 2.2916 3.9674
4.2188 2.2916 6.7551
4.6222 4.6222 5.3613
5.1435 1.3669 0.0000
5.5468 5.5468 1.3938
5.5468 5.5468 9.3287
```

***

3.
# NbHgF2

Crystalline NbHgF2 at its relaxed geometry (GGA-PBE, the Alexandria database).

The calculation puts the electronic total energy at -5.08 eV/atom. As for the formation energy (no corrections): -1555 meV per atom. The calculation puts the theoretical density at 7.80 g cm⁻³. The magnetization is 0.00 μB/atom. The calculation puts the density of states at the Fermi level at 1.6 states/eV per cell. For the distance to the lowest polymorph of the same formula, the calculation gives 0.000 eV per atom.

The structure in POSCAR format:
```
NbHgF2
1.0
1.4524 0.8385 9.6542
-1.4524 0.8385 9.6542
0.0000 -1.6771 9.6542
Nb Hg F
1 1 2
Cartesian
0.0000 0.0000 0.0000
0.0000 0.0000 14.4813
0.0000 0.0000 11.1742
0.0000 0.0000 17.7885
```

***

4.
# NbHg2F

Crystalline NbHg2F at its relaxed geometry (GGA-PBE, the Alexandria database).

The calculation puts the electronic total energy at -2.98 eV/atom. As for the formation energy (no corrections): 157 meV per atom. The calculation puts the theoretical density at 11.13 g cm⁻³. The magnetization is 0.00 μB/atom. The calculation puts the density of states at the Fermi level at 5.5 states/eV per cell. For the distance to the lowest polymorph of the same formula, the calculation gives 0.148 eV per atom.

The structure in POSCAR format:
```
NbHg2F
1.0
0.0000 3.3698 3.3698
3.3698 0.0000 3.3698
3.3698 3.3698 0.0000
Nb Hg F
1 2 1
Cartesian
0.0000 0.0000 0.0000
1.6849 1.6849 1.6849
5.0547 5.0547 5.0547
3.3698 3.3698 3.3698
```

***

5.
# Nb2HgF

Crystalline Nb2HgF at its relaxed geometry (GGA-PBE, the Alexandria database).

The calculation puts the electronic total energy at -5.51 eV/atom. As for the formation energy (no corrections): 69 meV per atom. The calculation puts the theoretical density at 9.84 g cm⁻³. The magnetization is 0.00 μB/atom. The calculation puts the density of states at the Fermi level at 8.9 states/eV per cell. For the distance to the lowest polymorph of the same formula, the calculation gives 0.000 eV per atom.

The structure in POSCAR format:
```
Nb2HgF
1.0
0.0000 3.2456 3.2456
3.2456 0.0000 3.2456
3.2456 3.2456 0.0000
Nb Hg F
2 1 1
Cartesian
1.6228 1.6228 1.6228
4.8684 4.8684 4.8684
0.0000 0.0000 0.0000
3.2456 3.2456 3.2456
```

***

6.
# Nb2HgF

Crystalline Nb2HgF at its relaxed geometry (GGA-PBE, the Alexandria database).

The calculation puts the electronic total energy at -5.41 eV/atom. As for the formation energy (no corrections): 167 meV per atom. The calculation puts the theoretical density at 8.30 g cm⁻³. The magnetization is 0.00 μB/atom. The calculation puts the density of states at the Fermi level at 6.9 states/eV per cell. For the distance to the lowest polymorph of the same formula, the calculation gives 0.097 eV per atom.

The structure in POSCAR format:
```
Nb2HgF
1.0
-2.3084 2.3084 7.6145
2.3084 -2.3084 7.6145
2.3084 2.3084 -7.6145
Nb Hg F
4 2 2
Cartesian
0.5061 1.1542 1.9036
-1.1542 1.8023 5.7109
-0.5061 3.4626 1.9036
1.1542 2.8145 5.7109
2.3084 0.0000 3.8073
0.0000 0.0000 7.6145
0.0000 0.0000 0.0000
0.0000 2.3084 3.8073
```

***

7.
# Nb2HgOF

Crystalline Nb2HgOF at its relaxed geometry (GGA-PBE, the Alexandria database).

The calculation puts the electronic total energy at -4.96 eV/atom. As for the formation energy (no corrections): 498 meV per atom. The calculation puts the theoretical density at 8.02 g cm⁻³. The magnetization is 0.00 μB/atom. The calculation puts the density of states at the Fermi level at 4.4 states/eV per cell.

The structure in POSCAR format:
```
Nb2HgOF
1.0
4.1877 0.0000 0.0000
0.0000 4.1877 0.0000
0.0000 0.0000 4.9729
Nb Hg O F
2 1 1 1
Cartesian
0.0000 2.0939 0.0000
2.0939 0.0000 0.0000
0.0000 0.0000 2.4865
2.0939 2.0939 2.4865
0.0000 0.0000 0.0000
```

***

8.
# Nb2Hg3SO4F10

Crystalline Nb2Hg3SO4F10 at its relaxed geometry (GGA-PBE, the Alexandria database).

The calculation puts the electronic total energy at -5.36 eV/atom. As for the formation energy (no corrections): -2170 meV per atom. The calculation puts the theoretical density at 4.96 g cm⁻³. The magnetization is 0.00 μB/atom. The calculation puts the density of states at the Fermi level at 0.0 states/eV per cell.

The structure in POSCAR format:
```
Nb2Hg3SO4F10
1.0
0.0000 9.3993 4.8078
7.9500 0.0000 4.8078
7.9500 9.3993 0.0000
Nb Hg S O F
4 6 2 8 20
Cartesian
8.8895 3.6294 4.8078
10.9855 8.3290 7.2117
7.0105 15.1692 4.8078
4.9145 10.4695 7.2117
9.7660 7.5097 2.7166
7.9500 9.3993 2.3624
3.9750 4.6996 4.7663
6.1340 11.2888 2.7166
5.7910 6.5892 5.1205
10.1090 12.2094 5.1205
7.9500 9.3993 6.1021
11.9250 14.0989 8.5060
10.9380 4.0343 4.6192
7.2929 8.3962 5.2509
8.6071 10.4023 5.2509
8.9370 8.7339 7.0231
12.5821 13.0958 7.6548
6.9630 10.0646 7.0231
11.2679 15.1020 7.6548
4.9620 14.7642 4.6192
9.1400 1.7298 4.9563
6.7055 5.6199 1.8826
5.1650 2.9699 2.5524
10.9720 10.6702 2.5937
13.1695 10.3195 4.2865
8.5819 5.5434 4.6021
6.9970 3.4286 4.9976
10.9593 8.1330 5.2855
1.2445 3.7794 1.8826
4.9280 8.1283 2.5937
2.7850 6.4294 2.5524
11.2931 10.2431 7.0060
14.9343 15.3651 7.6894
7.3181 13.2551 4.6021
2.7305 8.4790 4.2865
8.9030 15.3699 4.9976
4.9407 10.6655 5.2855
4.6069 8.5555 7.0060
8.9157 12.8327 7.6894
6.7600 17.0688 4.9563
```

***

9.
# SrNbHgF2

Crystalline SrNbHgF2 at its relaxed geometry (GGA-PBE, the Alexandria database).

The calculation puts the electronic total energy at -3.40 eV/atom. As for the formation energy (no corrections): -236 meV per atom. The calculation puts the theoretical density at 5.09 g cm⁻³. The magnetization is 0.87 μB/atom. The calculation puts the density of states at the Fermi level at 4.5 states/eV per cell.

The structure in POSCAR format:
```
SrNbHgF2
1.0
5.0358 0.0000 0.0000
0.0000 5.0358 0.0000
0.0000 0.0000 5.3964
Sr Nb Hg F
1 1 1 2
Cartesian
0.0000 0.0000 0.0000
2.5179 2.5179 0.0000
2.5179 2.5179 2.6982
0.0000 2.5179 2.6982
2.5179 0.0000 2.6982
```

***

10.
# Ta2NbHgF

Crystalline Ta2NbHgF at its relaxed geometry (GGA-PBE, the Alexandria database).

The calculation puts the electronic total energy at -6.54 eV/atom. As for the formation energy (no corrections): 650 meV per atom. The calculation puts the theoretical density at 10.89 g cm⁻³. The magnetization is 0.00 μB/atom. The calculation puts the density of states at the Fermi level at 5.3 states/eV per cell.

The structure in POSCAR format:
```
Ta2NbHgF
1.0
5.0230 0.0000 0.0000
0.0000 5.0230 0.0000
0.0000 0.0000 4.0761
Ta Nb Hg F
2 1 1 1
Cartesian
0.0000 2.5115 0.0000
2.5115 0.0000 0.0000
0.0000 0.0000 0.0000
2.5115 2.5115 2.0380
0.0000 0.0000 2.0380
```

***

11.
# NbTlHg2F

Crystalline NbTlHg2F at its relaxed geometry (GGA-PBE, the Alexandria database).

The calculation puts the electronic total energy at -3.26 eV/atom. As for the formation energy (no corrections): -277 meV per atom. The calculation puts the theoretical density at 8.97 g cm⁻³. The magnetization is 0.31 μB/atom. The calculation puts the density of states at the Fermi level at 5.0 states/eV per cell.

The structure in POSCAR format:
```
NbTlHg2F
1.0
5.6899 0.0000 0.0000
0.0000 5.6899 0.0000
0.0000 0.0000 4.1019
Nb Tl Hg F
1 1 2 1
Cartesian
0.0000 0.0000 0.0000
2.8449 2.8449 2.0509
0.0000 2.8449 0.0000
2.8449 0.0000 0.0000
0.0000 0.0000 2.0509
```

***

12.
# Nb2TlHgF

Crystalline Nb2TlHgF at its relaxed geometry (GGA-PBE, the Alexandria database).

The calculation puts the electronic total energy at -3.79 eV/atom. As for the formation energy (no corrections): 1142 meV per atom. The calculation puts the theoretical density at 8.26 g cm⁻³. The magnetization is 0.14 μB/atom. The calculation puts the density of states at the Fermi level at 5.9 states/eV per cell.

The structure in POSCAR format:
```
Nb2TlHgF
1.0
5.2595 0.0000 0.0000
0.0000 5.2595 0.0000
0.0000 0.0000 4.4326
Nb Tl Hg F
2 1 1 1
Cartesian
0.0000 2.6298 0.0000
2.6298 0.0000 0.0000
0.0000 0.0000 2.2163
2.6298 2.6298 0.0000
2.6298 2.6298 2.2163
```